# NiSe2Cl (PBE, optimized geometry)
# Formation energy without anion corrections = -0.233 eV per atom
# ΔE to the lowest computed polymorph = 79 meV/atom
# Total energy = -3.88 eV per atom
# Crystal system = monoclinic
# D(E_F) = 0.06 states/eV/f.u.
data_NiSe2Cl
_space_group_name_H-M_alt 'P 1 21/c 1'
_space_group_IT_number 14
_cell_length_a 6.862
_cell_length_b 5.137
_cell_length_c 11.955
_cell_angle_alpha 90.00
_cell_angle_beta 119.32
_cell_angle_gamma 90.00
loop_
_space_group_symop_operation_xyz
'x,y,z'
'-x,-y,-z'
'-x,y+1/2,-z+1/2'
'x,-y+1/2,z+1/2'
loop_
_atom_site_label
_atom_site_type_symbol
_atom_site_fract_x
_atom_site_fract_y
_atom_site_fract_z
_atom_site_occupancy
Ni1 Ni 0.048 0.188 0.387 1
Se1 Se 0.225 0.607 0.059 1
Se2 Se 0.357 0.046 0.034 1
Cl1 Cl 0.166 0.004 0.256 1

=====

# NiSe2Cl (PBE, optimized geometry)
# Formation energy without anion corrections = 0.130 eV per atom
# ΔE to the lowest computed polymorph = 442 meV/atom
# Total energy = -3.52 eV per atom
# Crystal system = orthorhombic
# D(E_F) = 4.08 states/eV/f.u.
data_NiSe2Cl
_space_group_name_H-M_alt 'I m m 2'
_space_group_IT_number 44
_cell_length_a 3.227
_cell_length_b 7.928
_cell_length_c 8.641
_cell_angle_alpha 90.00
_cell_angle_beta 90.00
_cell_angle_gamma 90.00
loop_
_space_group_symop_operation_xyz
'x,y,z'
'-x,-y,z'
'-x,y,z'
'x,-y,z'
'x+1/2,y+1/2,z+1/2'
'-x+1/2,-y+1/2,z+1/2'
'-x+1/2,y+1/2,z+1/2'
'x+1/2,-y+1/2,z+1/2'
loop_
_atom_site_label
_atom_site_type_symbol
_atom_site_fract_x
_atom_site_fract_y
_atom_site_fract_z
_atom_site_occupancy
Ni1 Ni 0.000 0.000 0.000 1
Se1 Se 0.000 0.000 0.424 1
Se2 Se 0.000 0.500 0.686 1
Cl1 Cl 0.000 0.500 0.321 1

=====

# NiSe2Cl (PBE, optimized geometry)
# Formation energy without anion corrections = -0.033 eV per atom
# ΔE to the lowest computed polymorph = 279 meV/atom
# Total energy = -3.68 eV per atom
# Crystal system = orthorhombic
# D(E_F) = 3.59 states/eV/f.u.
data_NiSe2Cl
_space_group_name_H-M_alt 'C m c m'
_space_group_IT_number 63
_space_group_name_Hall '-C 2c 2'
_cell_length_a 3.617
_cell_length_b 24.784
_cell_length_c 4.020
_cell_angle_alpha 90.00
_cell_angle_beta 90.00
_cell_angle_gamma 90.00
loop_
_atom_site_label
_atom_site_type_symbol
_atom_site_fract_x
_atom_site_fract_y
_atom_site_fract_z
_atom_site_occupancy
Ni1 Ni 0.000 0.192 0.250 1
Se1 Se 0.000 0.291 0.250 1
Se2 Se 0.000 0.368 0.750 1
Cl1 Cl 0.000 0.436 0.250 1

=====

# NiSeCl2 (PBE, optimized geometry)
# Formation energy without anion corrections = -0.117 eV per atom
# ΔE to the lowest computed polymorph = 245 meV/atom
# Total energy = -3.36 eV per atom
# Crystal system = tetragonal
# D(E_F) = 4.36 states/eV/f.u.
data_NiSeCl2
_space_group_name_H-M_alt 'P 4 m m'
_space_group_IT_number 99
_cell_length_a 3.358
_cell_length_b 3.358
_cell_length_c 8.080
_cell_angle_alpha 90.00
_cell_angle_beta 90.00
_cell_angle_gamma 90.00
loop_
_space_group_symop_operation_xyz
'x,y,z'
'-y,x,z'
'-x,-y,z'
'y,-x,z'
'-x,y,z'
'y,x,z'
'x,-y,z'
'-y,-x,z'
loop_
_atom_site_label
_atom_site_type_symbol
_atom_site_fract_x
_atom_site_fract_y
_atom_site_fract_z
_atom_site_occupancy
Ni1 Ni 0.000 0.000 0.000 1
Se1 Se 0.500 0.500 0.906 1
Cl1 Cl 0.000 0.000 0.261 1
Cl2 Cl 0.500 0.500 0.631 1

=====

# NiSe2Cl (PBE, optimized geometry)
# Formation energy without anion corrections = 0.594 eV per atom
# ΔE to the lowest computed polymorph = 906 meV/atom
# Total energy = -3.06 eV per atom
# Crystal system = tetragonal
# D(E_F) = 3.77 states/eV/f.u.
data_NiSe2Cl
_space_group_name_H-M_alt 'P 4/m m m'
_space_group_IT_number 123
_space_group_name_Hall '-P 4 2'
_cell_length_a 4.903
_cell_length_b 4.903
_cell_length_c 2.892
_cell_angle_alpha 90.00
_cell_angle_beta 90.00
_cell_angle_gamma 90.00
loop_
_atom_site_label
_atom_site_type_symbol
_atom_site_fract_x
_atom_site_fract_y
_atom_site_fract_z
_atom_site_occupancy
Ni1 Ni 0.000 0.000 0.000 1
Se1 Se 0.000 0.500 0.500 1
Cl1 Cl 0.500 0.500 0.000 1

=====

# NiSe2Cl8 (PBE, optimized geometry)
# Formation energy without anion corrections = -0.275 eV per atom
# Total energy = -2.78 eV per atom
# Crystal system = monoclinic
# D(E_F) = 7.14 states/eV/f.u.
data_NiSe2Cl8
_space_group_name_H-M_alt 'C 1 2/m 1'
_space_group_IT_number 12
_cell_length_a 12.642
_cell_length_b 6.915
_cell_length_c 8.327
_cell_angle_alpha 90.00
_cell_angle_beta 98.30
_cell_angle_gamma 90.00
loop_
_space_group_symop_operation_xyz
'x,y,z'
'-x,-y,-z'
'-x,y,-z'
'x,-y,z'
'x+1/2,y+1/2,z'
'-x+1/2,-y+1/2,-z'
'-x+1/2,y+1/2,-z'
'x+1/2,-y+1/2,z'
loop_
_atom_site_label
_atom_site_type_symbol
_atom_site_fract_x
_atom_site_fract_y
_atom_site_fract_z
_atom_site_occupancy
Ni1 Ni 0.000 0.000 0.000 1
Se1 Se 0.229 0.500 0.219 1
Cl1 Cl 0.088 0.500 0.343 1
Cl2 Cl 0.114 0.219 0.958 1
Cl3 Cl 0.151 0.000 0.565 1